(1)
VASP calculation (PBE-GGA) on MnCuH2Pb after structural relaxation.

Output
ρ, kg/m3: 7557
Uncorrected energy, eV for the cell shown: -20.4

Structure (CIF):
```
data_MnCuH2Pb
_chemical_formula_sum 'Mn1 Cu1 H2 Pb1'
_cell_length_a 3.727
_cell_length_b 3.727
_cell_length_c 5.183
_cell_angle_alpha 90.00
_cell_angle_beta 90.00
_cell_angle_gamma 90.00
_symmetry_space_group_name_H-M 'P 4/m m m'
_symmetry_Int_Tables_number 123
_symmetry_space_group_name_Hall '-P 4 2'
loop_
_atom_site_label
_atom_site_type_symbol
_atom_site_fract_x
_atom_site_fract_y
_atom_site_fract_z
Mn1 Mn 0.000 0.000 0.000
Cu1 Cu 0.000 0.000 0.500
H1 H 0.000 0.500 0.500
Pb1 Pb 0.500 0.500 0.000
```


(2)
VASP calculation (PBE-GGA) on MnCu2HPd after structural relaxation.

Output
ρ, kg/m3: 8598
Polymorph energy (0 for the lowest one), eV/atom: 0.000

Structure (CIF):
```
data_MnCu2HPd
_chemical_formula_sum 'Mn1 Cu2 H1 Pd1'
_cell_length_a 3.853
_cell_length_b 3.853
_cell_length_c 3.765
_cell_angle_alpha 90.00
_cell_angle_beta 90.00
_cell_angle_gamma 90.00
_symmetry_space_group_name_H-M 'P 4/m m m'
_symmetry_Int_Tables_number 123
_symmetry_space_group_name_Hall '-P 4 2'
loop_
_atom_site_label
_atom_site_type_symbol
_atom_site_fract_x
_atom_site_fract_y
_atom_site_fract_z
Mn1 Mn 0.000 0.000 0.000
Cu1 Cu 0.000 0.500 0.500
H1 H 0.000 0.000 0.500
Pd1 Pd 0.500 0.500 0.000
```


(3)
VASP calculation (PBE-GGA) on MnCu2HPd after structural relaxation.

Output
ρ, kg/m3: 8346
Polymorph energy (0 for the lowest one), eV/atom: 0.055

Structure (CIF):
```
data_MnCu2HPd
_chemical_formula_sum 'Mn1 Cu2 H1 Pd1'
_cell_length_a 3.853
_cell_length_b 3.853
_cell_length_c 3.880
_cell_angle_alpha 90.00
_cell_angle_beta 90.00
_cell_angle_gamma 90.00
_symmetry_space_group_name_H-M 'P 4/m m m'
_symmetry_Int_Tables_number 123
_symmetry_space_group_name_Hall '-P 4 2'
loop_
_atom_site_label
_atom_site_type_symbol
_atom_site_fract_x
_atom_site_fract_y
_atom_site_fract_z
Mn1 Mn 0.000 0.000 0.000
Cu1 Cu 0.000 0.500 0.500
H1 H 0.500 0.500 0.500
Pd1 Pd 0.500 0.500 0.000
```


(4)
VASP calculation (PBE-GGA) on MnCu2HPt after structural relaxation.

Output
ρ, kg/m3: 11230
Polymorph energy (0 for the lowest one), eV/atom: 0.000

Structure (CIF):
```
data_MnCu2HPt
_chemical_formula_sum 'Mn1 Cu2 H1 Pt1'
_cell_length_a 3.835
_cell_length_b 3.835
_cell_length_c 3.802
_cell_angle_alpha 90.00
_cell_angle_beta 90.00
_cell_angle_gamma 90.00
_symmetry_space_group_name_H-M 'P 4/m m m'
_symmetry_Int_Tables_number 123
_symmetry_space_group_name_Hall '-P 4 2'
loop_
_atom_site_label
_atom_site_type_symbol
_atom_site_fract_x
_atom_site_fract_y
_atom_site_fract_z
Mn1 Mn 0.000 0.000 0.000
Cu1 Cu 0.000 0.500 0.500
H1 H 0.000 0.000 0.500
Pt1 Pt 0.500 0.500 0.000
```


Q: Number 1 is which compound?
A: MnCuH2Pb


Q: ρ of number 3 (MnCu2HPd)?
A: 8346 kg/m3


Q: Which of these has the lowest ρ?
A: MnCuH2Pb